Version a
Tb3Pm4Nd5: relaxed, PBE.

Structure (POSCAR):
```
Tb3Pm4Nd5
1.0
-1.863 -1.421 5.550
6.783 -2.585 4.885
-3.442 8.199 4.214
Nd Pm Tb
5 4 3
Direct
0.215 0.457 0.112
0.626 0.949 0.799
0.500 0.500 0.500
0.785 0.543 0.888
0.374 0.051 0.201
0.141 0.777 0.941
0.162 0.054 0.622
0.859 0.223 0.059
0.838 0.946 0.378
0.481 0.311 0.727
0.519 0.689 0.273
0.000 0.500 0.500
```

=====

Version b
Tb3Pm4Nd5: relaxed, PBE.

Structure (POSCAR):
```
Tb3Pm4Nd5
1.0
7.057 -0.655 1.652
-5.281 8.064 -6.296
4.372 -4.605 11.491
Tb Nd Pm
3 5 4
Direct
0.000 0.000 0.500
0.417 0.834 0.667
0.583 0.166 0.333
0.751 0.498 0.999
0.249 0.502 0.001
0.666 0.335 0.168
0.334 0.665 0.832
0.500 0.000 0.500
0.834 0.668 0.834
0.166 0.332 0.166
0.916 0.832 0.666
0.084 0.168 0.334
```

=====

Least stable: version a

=====

Version a
Tb3Pm2Nd6: relaxed, PBE.

Structure (POSCAR):
```
Tb3Pm2Nd6
1.0
3.636 0.000 0.223
1.811 3.153 0.223
-0.182 -0.105 32.707
Pm Tb Nd
2 3 6
Direct
0.454 0.454 0.638
0.546 0.546 0.362
0.000 0.000 0.000
0.727 0.727 0.820
0.273 0.273 0.180
0.818 0.818 0.546
0.637 0.637 0.090
0.090 0.090 0.730
0.182 0.182 0.454
0.363 0.363 0.910
0.910 0.910 0.270
```

=====

Version b
Tb3Pm2Nd6: relaxed, PBE.

Structure (POSCAR):
```
Tb3Pm2Nd6
1.0
4.802 0.000 0.000
0.000 4.802 0.000
-2.401 -2.401 17.118
Nd Tb Pm
6 3 2
Direct
0.704 0.704 0.408
0.621 0.121 0.242
0.296 0.296 0.592
0.379 0.879 0.758
0.879 0.379 0.758
0.121 0.621 0.242
0.000 0.000 0.000
0.196 0.196 0.392
0.804 0.804 0.608
0.455 0.455 0.910
0.545 0.545 0.090
```

=====

Least stable: version b

=====

Version a
Tb7Pm12Nd: relaxed, PBE.

Structure (POSCAR):
```
Tb7Pm12Nd
1.0
8.819 0.546 0.819
-1.928 8.623 0.819
-1.928 -2.565 8.273
Pm Tb Nd
12 7 1
Direct
0.762 0.500 0.238
0.500 0.238 0.762
0.500 0.762 0.238
0.357 0.090 0.357
0.090 0.357 0.357
0.762 0.238 0.500
0.643 0.643 0.910
0.643 0.910 0.643
0.238 0.762 0.500
0.910 0.643 0.643
0.357 0.357 0.090
0.238 0.500 0.762
0.095 0.095 0.660
0.340 0.905 0.905
0.905 0.340 0.905
0.500 0.500 0.500
0.660 0.095 0.095
0.905 0.905 0.340
0.095 0.660 0.095
0.000 0.000 0.000
```

=====

Version b
Tb7Pm12Nd: relaxed, PBE.

Structure (POSCAR):
```
Tb7Pm12Nd
1.0
9.410 0.000 -3.327
-4.705 8.149 -3.327
0.000 0.000 9.981
Pm Tb Nd
12 7 1
Direct
0.253 0.252 0.505
0.001 0.253 0.748
0.748 0.495 0.747
0.253 0.748 0.001
0.252 0.505 0.253
0.747 0.252 0.999
0.252 0.999 0.747
0.999 0.747 0.252
0.747 0.748 0.495
0.495 0.747 0.748
0.748 0.001 0.253
0.505 0.253 0.252
0.500 0.000 0.500
0.000 0.000 0.500
0.000 0.500 0.000
0.000 0.500 0.500
0.500 0.500 0.000
0.500 0.000 0.000
0.500 0.500 0.500
0.000 0.000 0.000
```

=====

Least stable: version b

=====

Version a
Tb4PmNd5: relaxed, PBE.

Structure (POSCAR):
```
Tb4PmNd5
1.0
3.612 0.000 0.000
0.000 10.500 1.433
-1.806 -0.269 9.167
Tb Nd Pm
4 5 1
Direct
0.046 0.239 0.092
0.683 0.089 0.366
0.954 0.761 0.908
0.317 0.911 0.634
0.142 0.768 0.284
0.190 0.403 0.379
0.810 0.597 0.621
0.500 0.500 0.000
0.858 0.232 0.716
0.500 0.000 0.000
```

=====

Version b
Tb4PmNd5: relaxed, PBE.

Structure (POSCAR):
```
Tb4PmNd5
1.0
3.560 -0.009 -0.729
-0.395 10.044 -2.095
0.109 -0.671 9.565
Tb Nd Pm
4 5 1
Direct
0.900 0.702 0.799
0.100 0.298 0.201
0.300 0.900 0.600
0.700 0.100 0.400
0.900 0.197 0.799
0.300 0.400 0.599
0.500 0.500 0.000
0.100 0.803 0.201
0.700 0.600 0.401
0.500 0.000 0.000
```

=====

Least stable: version a

=====

Version a
Tb2Pm4Nd: relaxed, PBE.

Structure (POSCAR):
```
Tb2Pm4Nd
1.0
3.528 0.000 -0.590
-0.247 5.624 -1.478
0.202 0.160 12.050
Nd Pm Tb
1 4 2
Direct
0.000 0.000 0.000
0.913 0.413 0.826
0.638 0.138 0.275
0.362 0.862 0.725
0.087 0.587 0.174
0.275 0.275 0.549
0.725 0.725 0.451
```

=====

Version b
Tb2Pm4Nd: relaxed, PBE.

Structure (POSCAR):
```
Tb2Pm4Nd
1.0
6.558 1.924 0.003
1.820 6.594 -0.001
-4.186 -4.261 5.974
Pm Tb Nd
4 2 1
Direct
0.236 0.365 0.000
0.365 0.236 0.601
0.764 0.635 0.399
0.635 0.764 0.000
0.750 0.250 0.500
0.250 0.750 0.500
0.001 0.999 0.000
```

=====

Least stable: version b

=====

Version a
Tb5PmNd: relaxed, PBE.

Structure (POSCAR):
```
Tb5PmNd
1.0
-4.011 -4.171 -0.098
-0.617 -3.586 7.012
-6.461 2.104 4.029
Tb Pm Nd
5 1 1
Direct
0.748 0.252 0.252
0.252 0.748 0.748
0.500 0.179 0.821
0.500 0.821 0.179
0.000 0.500 0.500
0.000 0.000 0.000
0.500 0.500 0.500
```

=====

Version b
Tb5PmNd: relaxed, PBE.

Structure (POSCAR):
```
Tb5PmNd
1.0
-2.999 -4.082 4.571
3.819 -3.845 4.146
0.719 3.366 13.410
Tb Pm Nd
10 2 2
Direct
0.164 0.836 0.750
0.349 0.307 0.499
0.836 0.164 0.250
0.394 0.169 0.248
0.651 0.693 0.501
0.169 0.394 0.748
0.831 0.606 0.252
0.693 0.651 0.001
0.307 0.349 0.999
0.606 0.831 0.752
0.724 0.276 0.750
0.276 0.724 0.250
0.000 0.000 0.000
0.000 0.000 0.500
```

=====

Least stable: version a

=====

Version a
TbPm2Nd8: relaxed, PBE.

Structure (POSCAR):
```
TbPm2Nd8
1.0
5.794 1.704 0.000
2.714 8.815 0.000
1.357 4.408 8.345
Nd Pm Tb
8 2 1
Direct
0.179 0.668 0.234
0.296 0.422 0.000
0.500 0.205 0.589
0.821 0.332 0.766
0.179 0.901 0.766
0.704 0.578 0.000
0.821 0.099 0.234
0.500 0.795 0.411
0.000 0.308 0.383
0.000 0.692 0.617
0.500 0.000 0.000
```

=====

Version b
TbPm2Nd8: relaxed, PBE.

Structure (POSCAR):
```
TbPm2Nd8
1.0
-2.576 4.370 -1.063
-2.374 -3.149 -7.192
-5.364 -4.628 6.606
Tb Nd Pm
1 8 2
Direct
0.500 0.000 0.000
0.681 0.910 0.363
0.864 0.819 0.728
0.136 0.181 0.272
0.319 0.090 0.637
0.046 0.729 0.091
0.954 0.271 0.909
0.409 0.547 0.819
0.591 0.453 0.181
0.227 0.636 0.454
0.773 0.364 0.546
```

=====

Least stable: version a

=====

Version a
Tb7PmNd4: relaxed, PBE.

Structure (POSCAR):
```
Tb7PmNd4
1.0
5.970 0.000 0.000
2.985 11.362 -0.350
2.985 0.202 6.079
Tb Nd Pm
7 4 1
Direct
0.933 0.318 0.816
0.211 0.077 0.501
0.632 0.503 0.234
0.500 0.000 0.000
0.368 0.497 0.766
0.067 0.682 0.184
0.789 0.923 0.499
0.364 0.777 0.496
0.636 0.223 0.504
0.230 0.328 0.211
0.770 0.672 0.789
0.000 0.000 0.000
```

=====

Version b
Tb7PmNd4: relaxed, PBE.

Structure (POSCAR):
```
Tb7PmNd4
1.0
-4.735 -0.335 5.015
-8.591 -2.233 0.002
1.391 -9.044 -0.305
Tb Nd Pm
7 4 1
Direct
0.737 0.513 0.949
0.707 0.189 0.384
0.983 0.319 0.641
0.017 0.681 0.359
0.263 0.487 0.051
0.293 0.811 0.616
0.500 0.000 0.000
0.774 0.838 0.690
0.226 0.162 0.310
0.447 0.361 0.716
0.553 0.639 0.284
0.000 0.000 0.000
```

=====

Least stable: version a

=====

Version a
Tb2Pm7Nd: relaxed, PBE.

Structure (POSCAR):
```
Tb2Pm7Nd
1.0
-1.813 1.703 2.480
-8.931 -3.081 -4.413
2.969 -7.094 7.042
Pm Nd Tb
7 1 2
Direct
0.500 0.875 0.613
0.500 0.613 0.875
0.000 0.676 0.324
0.500 0.500 0.500
0.500 0.125 0.387
0.000 0.324 0.676
0.500 0.387 0.125
0.000 0.000 0.000
0.500 0.170 0.830
0.500 0.830 0.170
```

=====

Version b
Tb2Pm7Nd: relaxed, PBE.

Structure (POSCAR):
```
Tb2Pm7Nd
1.0
-0.517 1.876 5.367
6.769 -5.734 2.656
1.635 8.652 -2.867
Pm Nd Tb
7 1 2
Direct
0.000 0.226 0.774
0.500 0.294 0.063
0.500 0.500 0.500
0.500 0.706 0.937
0.000 0.774 0.226
0.500 0.937 0.706
0.500 0.063 0.294
0.000 0.000 0.000
0.500 0.704 0.296
0.500 0.296 0.704
```

=====

Least stable: version b

=====

Version a
TbPm2Nd: relaxed, PBE.

Structure (POSCAR):
```
TbPm2Nd
1.0
5.783 0.000 0.000
2.891 5.008 0.000
2.891 1.669 4.721
Pm Nd Tb
2 1 1
Direct
0.750 0.750 0.750
0.250 0.250 0.250
0.500 0.500 0.500
0.000 0.000 0.000
```

=====

Version b
TbPm2Nd: relaxed, PBE.

Structure (POSCAR):
```
TbPm2Nd
1.0
5.143 0.000 0.000
0.000 5.137 0.000
0.000 0.000 5.137
Tb Nd Pm
1 1 2
Direct
0.500 0.500 0.500
0.500 0.000 0.000
0.000 0.500 0.000
0.000 0.000 0.500
```

=====

Least stable: version a